(1)
Computed, not measured: a relaxed TbTmAsO2 crystal at the PBE level of DFT.

Cell and atoms, written as POSCAR:
```
TbTmAsO2
1.0
-0.4427 2.2831 2.9712
-3.6100 0.5421 -0.9544
0.3245 -6.4191 2.5851
As O Tm Tb
1 2 1 1
Direct
0.5015 0.5015 0.0031
0.7478 0.2478 0.4956
0.2478 0.7478 0.4956
0.1621 0.1621 0.3243
0.8407 0.8407 0.6815
```

SG: I4mm (107)
Crystal system: tetragonal
Fermi-level density of states: 2.0 states/eV/f.u.
Total moment: 0.0 μB per cell
E_tot: -37.20 eV per cell



(2)
Computed, not measured: a relaxed La2Al9Pd6 crystal at the PBE level of DFT.

Cell and atoms, written as POSCAR:
```
La2Al9Pd6
1.0
-2.8227 4.1848 2.3240
1.6789 -4.2861 3.1131
10.7152 5.9146 2.3644
Pd Al La
6 9 2
Direct
0.3333 0.6667 0.3262
0.3333 0.6667 0.6738
0.6667 0.3333 0.0000
0.6667 0.3333 0.3262
0.3333 0.6667 0.0000
0.6667 0.3333 0.6738
0.0000 0.5000 0.8404
0.5000 0.5000 0.8404
0.0000 0.5000 0.5000
0.5000 0.0000 0.8404
0.5000 0.5000 0.5000
0.5000 0.5000 0.1596
0.5000 0.0000 0.5000
0.5000 0.0000 0.1596
0.0000 0.5000 0.1596
0.0000 0.0000 0.3371
0.0000 0.0000 0.6629
```

SG: P6/mmm (191)
Crystal system: hexagonal
Fermi-level density of states: 10.0 states/eV/f.u.
Total moment: 0.0 μB per cell
E_tot: -85.70 eV per cell



(3)
Computed, not measured: a relaxed Li2MgH4 crystal at the PBE level of DFT.

Cell and atoms, written as POSCAR:
```
Li2MgH4
1.0
2.9842 0.0000 0.0000
0.0000 4.7993 -0.1491
-1.4921 -2.4945 4.7156
H Mg Li
4 1 2
Direct
0.3790 0.7201 0.7580
0.8669 0.1562 0.7338
0.1331 0.8438 0.2662
0.6210 0.2799 0.2420
0.0000 0.0000 0.0000
0.6939 0.7219 0.3878
0.3061 0.2781 0.6122
```

SG: C2/m (12)
Energy above the lowest structure with this stoichiometry: 0.0163 eV per atom
Crystal system: monoclinic
Fermi-level density of states: 0.0 states/eV/f.u.
Total moment: 0.0 μB per cell



(4)
Computed, not measured: a relaxed ScGaAu crystal at the PBE level of DFT.

Cell and atoms, written as POSCAR:
```
ScGaAu
1.0
-4.3226 1.0761 -0.4269
-2.3164 -1.4121 -3.5588
-3.1468 -3.1448 0.4826
Sc Au Ga
1 1 1
Direct
0.5000 0.5000 0.5000
0.2500 0.2500 0.2500
0.0000 0.0000 0.0000
```

SG: F-43m (216)
Crystal system: cubic
Fermi-level density of states: 4.4 states/eV/f.u.
Total moment: 0.0 μB per cell
E_tot: -14.43 eV per cell



(5)
Computed, not measured: a relaxed AcDyBiAu crystal at the PBE level of DFT.

Cell and atoms, written as POSCAR:
```
AcDyBiAu
1.0
5.5369 0.0000 0.0000
2.7685 4.7951 0.0000
2.7685 1.5984 4.5209
Dy Bi Ac Au
1 1 1 1
Direct
0.7500 0.7500 0.7500
0.0000 0.0000 0.0000
0.2500 0.2500 0.2500
0.5000 0.5000 0.5000
```

SG: F-43m (216)
Crystal system: cubic
Fermi-level density of states: 4.1 states/eV/f.u.
Total moment: 1.0 μB per cell
E_tot: -18.35 eV per cell



(6)
Computed, not measured: a relaxed BaH3Pd crystal at the PBE level of DFT.

Cell and atoms, written as POSCAR:
```
BaH3Pd
1.0
0.0000 5.1189 5.1189
5.1189 0.0000 5.1189
5.1189 5.1189 0.0000
Ba Pd H
4 4 12
Direct
0.6250 0.6250 0.6250
0.1250 0.6250 0.6250
0.6250 0.1250 0.6250
0.6250 0.6250 0.1250
0.1250 0.6250 0.1250
0.6250 0.1250 0.1250
0.1250 0.1250 0.6250
0.1250 0.1250 0.1250
0.4236 0.4236 0.0764
0.1736 0.8264 0.8264
0.8264 0.1736 0.1736
0.4236 0.0764 0.4236
0.8264 0.8264 0.1736
0.8264 0.1736 0.8264
0.4236 0.0764 0.0764
0.0764 0.4236 0.0764
0.0764 0.0764 0.4236
0.1736 0.1736 0.8264
0.1736 0.8264 0.1736
0.0764 0.4236 0.4236
```

SG: Fd-3m (227)
Crystal system: cubic
Fermi-level density of states: 0.8 states/eV/f.u.
Total moment: 0.0 μB per cell
E_tot: -72.05 eV per cell